This record from Alexandria via LeMat-Bulk describes crystalline SrEuMn4O12 at its relaxed geometry. The functional is PBE with a Hubbard U.

Results
The density of states at the Fermi level comes out at 12.1 states/eV per cell. As for the symmetry: P4/mmm (123). The energy comes out at -6.97 eV per atom. Its total magnetization is 21.11 μB/f.u. As for the crystal system: tetragonal.

abc: 5.3642 5.3642 7.5883
angles: 90.00 90.00 90.00
Each line ends with the local moment (μB).
Element x y z (fractional)
Sr 0.0000 0.0000 0.5000  0.00
Eu 0.5000 0.5000 0.0000  6.31
Mn 0.0000 0.5000 0.7484  2.94
Mn 0.0000 0.5000 0.2516  2.94
Mn 0.5000 0.0000 0.7484  2.94
Mn 0.5000 0.0000 0.2516  2.94
O 0.2555 0.2555 0.7608  0.18
O 0.2555 0.2555 0.2392  0.18
O 0.7445 0.7445 0.7608  0.18
O 0.7445 0.7445 0.2392  0.18
O 0.7445 0.2555 0.7608  0.18
O 0.7445 0.2555 0.2392  0.18
O 0.2555 0.7445 0.7608  0.18
O 0.2555 0.7445 0.2392  0.18
O 0.0000 0.5000 0.5000  0.20
O 0.0000 0.5000 0.0000  0.20
O 0.5000 0.0000 0.5000  0.20
O 0.5000 0.0000 0.0000  0.20

=====

This record from Alexandria via LeMat-Bulk describes crystalline SrEuZrMnO6 at its relaxed geometry. The functional is PBE with a Hubbard U.

Results
The density of states at the Fermi level comes out at 14.3 states/eV per cell. As for the symmetry: F-43m (216). The energy comes out at -8.42 eV per atom. Its total magnetization is 10.00 μB/f.u. As for the crystal system: cubic.

abc: 5.6873 5.6873 5.6873
angles: 60.00 60.00 60.00
Each line ends with the local moment (μB).
Element x y z (fractional)
Sr 0.2500 0.2500 0.2500  0.01
Eu 0.7500 0.7500 0.7500  6.69
Zr 0.5000 0.5000 0.5000  0.00
Mn 0.0000 0.0000 0.0000  3.32
O 0.2412 0.7588 0.2412  -0.04
O 0.7588 0.2412 0.7588  -0.04
O 0.2412 0.7588 0.7588  -0.04
O 0.7588 0.2412 0.2412  -0.04
O 0.2412 0.2412 0.7588  -0.04
O 0.7588 0.7588 0.2412  -0.04

=====

Which value of energy does entry 2 give?
-8.42 eV per atom

=====

Look up the total magnetization of the first one.
21.11 μB/f.u.

=====

What is the energy in the second record?
-8.42 eV per atom

=====

The highest total magnetization belongs to which entry?
SrEuMn4O12